The following is a DFT calculation (PBE with a Hubbard U) of a relaxed Cs2MnCoO4 crystal.

```
Cs2MnCoO4
1.0
0.000 6.127 11.413
2.551 0.000 11.413
2.551 6.127 0.000
Cs Mn Co O
4 2 2 8
Cartesian
1.913 4.595 1.018
3.189 7.659 6.725
1.913 4.595 16.101
3.189 7.659 21.808
0.638 1.532 2.853
4.464 10.723 19.973
1.913 4.595 8.560
3.189 7.659 14.266
1.795 2.367 3.998
3.308 5.431 9.704
2.032 6.824 3.998
2.032 2.367 13.122
3.070 9.887 9.704
3.070 5.431 18.828
1.795 6.824 13.122
3.308 9.887 18.828
```

Values from the calculation:
Its calculated total energy is -5.48 eV per atom.